MoAs3Au, relaxed, DFT PBE; relative energy among the computed polymorphs = 0.000 eV/atom; energy of formation = 2.6 eV per formula unit; magnetic moment = 0.0 Bohr magnetons per cell; DOS(E_F) = 1.0426 states/eV per atom; space group = Pm-3m
1.0
4.864 0.000 0.000
0.000 4.864 0.000
0.000 0.000 4.864
Mo As Au
1 3 1
Cartesian
0.000 0.000 0.000
0.000 0.000 2.432
0.000 2.432 0.000
2.432 0.000 0.000
2.432 2.432 2.432